The following is a PBE with a Hubbard U calculation of a relaxed structure of KCoAsO4, from the Open Quantum Materials Database.

Properties
E in eV per atom: -5.82
Spin magnetization in μB per atom: 0.429
Space group: R-3 (148)

a b c (Å): 9.921 9.921 9.921
angles (deg): 29.22 29.22 29.22
Atoms (fractional coordinates):
K1 0.210 0.210 0.210
K2 0.790 0.790 0.790
Co1 0.335 0.335 0.335
Co2 0.665 0.665 0.665
As1 0.062 0.062 0.062
As2 0.938 0.938 0.938
O1 0.037 0.375 0.717
O2 0.122 0.122 0.122
O3 0.283 0.963 0.625
O4 0.375 0.717 0.037
O5 0.625 0.283 0.963
O6 0.717 0.037 0.375
O7 0.878 0.878 0.878
O8 0.963 0.625 0.283